Arrangement A

DFT (PBE) results for an optimized crystal structure of Mg3Ga3Cu2.

Cell: 4.179 9.714 13.806 Å, 90.00 90.00 90.00°
Space group Cmcm (No. 63)
Symmetry-distinct sites (fractional):
Mg 0.000 0.075 0.113 [8 per cell]
Mg 0.000 0.350 0.250 [4 per cell]
Ga 0.000 0.362 0.750 [4 per cell]
Ga 0.000 0.375 0.038 [8 per cell]
Cu 0.000 0.212 0.608 [8 per cell]

Computed properties:
V = 140 Å³/f.u.



Arrangement B

DFT (PBE) results for an optimized crystal structure of Mg3Ga3Cu2.

Cell: 6.600 16.136 5.239 Å, 90.00 90.00 90.00°
Space group Pnma (No. 62)
Symmetry-distinct sites (fractional):
Mg 0.011 0.116 0.114 [8 per cell]
Mg 0.172 0.250 0.645 [4 per cell]
Ga 0.180 0.024 0.609 [8 per cell]
Ga 0.185 0.750 0.645 [4 per cell]
Cu 0.126 0.620 0.392 [8 per cell]

Computed properties:
V = 140 Å³/f.u.



arrangement A is favored, and the nearest alternative lies 15 meV/atom above it.



Arrangement A

DFT (PBE) results for an optimized crystal structure of MgGaCu6.

Cell: 4.737 4.737 4.737 Å, 90.00 90.00 90.00°
Space group Pm-3 (No. 200)
Symmetry-distinct sites (fractional):
Mg 0.000 0.000 0.000 [1 per cell]
Ga 0.500 0.500 0.500 [1 per cell]
Cu 0.000 0.252 0.500 [6 per cell]

Computed properties:
V = 106 Å³/f.u.



Arrangement B

DFT (PBE) results for an optimized crystal structure of MgGaCu6.

Cell: 7.456 10.591 10.537 Å, 90.00 90.00 90.00°
Space group Cmmm (No. 65)
Symmetry-distinct sites (fractional):
Mg 0.000 0.000 0.250 [4 per cell]
Mg 0.000 0.245 0.000 [4 per cell]
Ga 0.000 0.243 0.500 [4 per cell]
Ga 0.000 0.500 0.250 [4 per cell]
Cu 0.000 0.000 0.000 [2 per cell]
Cu 0.000 0.000 0.500 [2 per cell]
Cu 0.000 0.251 0.254 [8 per cell]
Cu 0.000 0.500 0.000 [2 per cell]
Cu 0.000 0.500 0.500 [2 per cell]
Cu 0.245 0.374 0.377 [16 per cell]
Cu 0.245 0.376 0.127 [16 per cell]

Computed properties:
V = 104 Å³/f.u.



arrangement B is favored, and the nearest alternative lies 79 meV/atom above it.



Arrangement A

DFT (PBE) results for an optimized crystal structure of MgGa2Cu6.

Cell: 2.782 7.168 12.528 Å, 90.00 90.00 90.00°
Space group Immm (No. 71)
Symmetry-distinct sites (fractional):
Mg 0.000 0.000 0.000 [2 per cell]
Ga 0.000 0.500 0.151 [4 per cell]
Cu 0.000 0.171 0.500 [4 per cell]
Cu 0.000 0.324 0.326 [8 per cell]

Computed properties:
V = 125 Å³/f.u.



Arrangement B

DFT (PBE) results for an optimized crystal structure of MgGa2Cu6.

Cell: 12.252 8.858 4.509 Å, 90.00 97.69 90.00°
Space group C2/c (No. 15)
Symmetry-distinct sites (fractional):
Mg 0.000 0.121 0.250 [4 per cell]
Ga 0.161 0.368 0.098 [8 per cell]
Cu 0.055 0.379 0.538 [8 per cell]
Cu 0.122 0.131 0.796 [8 per cell]
Cu 0.230 0.119 0.352 [8 per cell]

Computed properties:
V = 121 Å³/f.u.



arrangement B is favored, and the nearest alternative lies 43 meV/atom above it.



Arrangement A

DFT (PBE) results for an optimized crystal structure of Mg6GaCu.

Cell: 4.492 4.492 15.919 Å, 90.00 90.00 90.00°
Space group I4/mmm (No. 139)
Symmetry-distinct sites (fractional):
Mg 0.000 0.000 0.249 [4 per cell]
Mg 0.000 0.500 0.107 [8 per cell]
Ga 0.000 0.000 0.500 [2 per cell]
Cu 0.000 0.000 0.000 [2 per cell]

Computed properties:
V = 161 Å³/f.u.



Arrangement B

DFT (PBE) results for an optimized crystal structure of Mg6GaCu.

Cell: 4.867 6.484 10.110 Å, 90.00 90.00 90.00°
Space group Amm2 (No. 38)
Symmetry-distinct sites (fractional):
Mg 0.000 0.000 0.000 [2 per cell]
Mg 0.000 0.000 0.499 [2 per cell]
Mg 0.000 0.242 0.757 [4 per cell]
Mg 0.500 0.250 0.071 [4 per cell]
Ga 0.500 0.000 0.322 [2 per cell]
Cu 0.500 0.000 0.827 [2 per cell]

Computed properties:
V = 160 Å³/f.u.



arrangement A is favored, and the nearest alternative lies 33 meV/atom above it.



Arrangement A

DFT (PBE) results for an optimized crystal structure of Mg4GaCu.

Cell: 7.957 12.293 5.177 Å, 90.00 110.50 90.00°
Space group C2/c (No. 15)
Symmetry-distinct sites (fractional):
Mg 0.113 0.179 0.064 [8 per cell]
Mg 0.205 0.420 0.346 [8 per cell]
Ga 0.000 0.374 0.750 [4 per cell]
Cu 0.000 0.002 0.250 [4 per cell]

Computed properties:
V = 119 Å³/f.u.



Arrangement B

DFT (PBE) results for an optimized crystal structure of Mg4GaCu.

Cell: 6.751 6.751 5.079 Å, 90.00 90.00 90.00°
Space group I422 (No. 97)
Symmetry-distinct sites (fractional):
Mg 0.158 0.342 0.250 [8 per cell]
Ga 0.000 0.000 0.000 [2 per cell]
Cu 0.000 0.000 0.500 [2 per cell]

Computed properties:
V = 116 Å³/f.u.



arrangement B is favored, and the nearest alternative lies 9 meV/atom above it.



Arrangement A

DFT (PBE) results for an optimized crystal structure of Mg3Ga2Cu.

Cell: 10.729 4.333 9.544 Å, 90.00 90.00 90.00°
Space group Pnma (No. 62)
Symmetry-distinct sites (fractional):
Mg 0.037 0.250 0.124 [4 per cell]
Mg 0.144 0.750 0.601 [4 per cell]
Mg 0.212 0.250 0.833 [4 per cell]
Ga 0.017 0.750 0.320 [4 per cell]
Ga 0.189 0.750 0.038 [4 per cell]
Cu 0.112 0.250 0.407 [4 per cell]

Computed properties:
V = 111 Å³/f.u.



Arrangement B

DFT (PBE) results for an optimized crystal structure of Mg3Ga2Cu.

Cell: 5.494 14.673 5.585 Å, 90.00 90.00 90.00°
Space group Ibam (No. 72)
Symmetry-distinct sites (fractional):
Mg 0.000 0.000 0.250 [4 per cell]
Mg 0.210 0.183 0.000 [8 per cell]
Ga 0.203 0.374 0.000 [8 per cell]
Cu 0.000 0.500 0.250 [4 per cell]

Computed properties:
V = 113 Å³/f.u.



arrangement A is favored, and the nearest alternative lies 48 meV/atom above it.



Arrangement A

DFT (PBE) results for an optimized crystal structure of Mg2Ga2Cu3.

Cell: 4.183 4.228 7.606 Å, 75.11 75.31 60.86°
Space group P-1 (No. 2)
Symmetry-distinct sites (fractional):
Mg 0.128 0.134 0.117 [2 per cell]
Ga 0.386 0.387 0.350 [2 per cell]
Cu 0.000 0.000 0.500 [1 per cell]
Cu 0.256 0.252 0.720 [2 per cell]

Computed properties:
V = 112 Å³/f.u.



Arrangement B

DFT (PBE) results for an optimized crystal structure of Mg2Ga2Cu3.

Cell: 9.394 4.097 6.234 Å, 90.00 111.92 90.00°
Space group C2/m (No. 12)
Symmetry-distinct sites (fractional):
Mg 0.143 0.000 0.247 [4 per cell]
Ga 0.141 0.000 0.715 [4 per cell]
Cu 0.000 0.500 0.500 [2 per cell]
Cu 0.114 0.500 0.933 [4 per cell]

Computed properties:
V = 111 Å³/f.u.



arrangement B is favored, and the nearest alternative lies 27 meV/atom above it.



Arrangement A

DFT (PBE) results for an optimized crystal structure of MnGa2Cu8.

Cell: 6.752 11.631 4.396 Å, 90.00 120.92 90.00°
Space group C2/m (No. 12)
Symmetry-distinct sites (fractional):
Mn 0.000 0.000 0.000 [2 per cell]
Ga 0.000 0.310 0.500 [4 per cell]
Cu 0.000 0.215 0.000 [4 per cell]
Cu 0.079 0.500 0.809 [4 per cell]
Cu 0.208 0.113 0.642 [8 per cell]

Computed properties:
V = 148 Å³/f.u.



Arrangement B

DFT (PBE) results for an optimized crystal structure of MnGa2Cu8.

Cell: 13.322 3.721 5.910 Å, 90.00 106.58 90.00°
Space group C2/m (No. 12)
Symmetry-distinct sites (fractional):
Mn 0.000 0.000 0.000 [2 per cell]
Ga 0.225 0.500 0.651 [4 per cell]
Cu 0.044 0.500 0.728 [4 per cell]
Cu 0.091 0.000 0.458 [4 per cell]
Cu 0.137 0.500 0.189 [4 per cell]
Cu 0.180 0.000 0.912 [4 per cell]

Computed properties:
V = 140 Å³/f.u.



arrangement B is favored, and the nearest alternative lies 123 meV/atom above it.